RbNaMoI6 | GGA-PBE | relaxed

Summary:
- Formation energy (no corrections): -652 meV per atom

Cell: 7.9418 7.9421 7.7462 Å, 90.01 90.00 59.96°
Last column: nearest neighbours and their distance in Å.
Fractional coordinates of all 9 atoms:
Rb1 0.0000 0.0000 0.0000  6 I 3.72
Na1 0.6665 0.6665 0.5000  6 I 3.20-3.21
Mo1 0.3334 0.3333 0.5000  6 I 2.79
I1 0.0401 0.3510 0.2902  1 Mo 2.79
I2 0.3509 0.0401 0.7097  1 Mo 2.79
I3 0.6089 0.3511 0.7097  1 Mo 2.79
I4 0.0395 0.6095 0.7094  1 Mo 2.79
I5 0.3511 0.6089 0.2902  1 Mo 2.79
I6 0.6094 0.0396 0.2906  1 Mo 2.79

LiNiC2 | GGA-PBE | relaxed

Summary:
- Energy above the most stable polymorph in this dataset: 0 meV per atom
- ΔE_f: 0.89 eV/atom

Cell: 3.4329 3.4329 6.9969 Å, 75.80 75.80 90.00°
Last column: nearest neighbours and their distance in Å.
Fractional coordinates of all 8 atoms:
Ni1 0.0000 0.0000 0.0000  4 C 1.85
Ni2 0.7500 0.2500 0.5000  4 C 1.85
C1 0.8752 0.1250 0.2500  2 C 1.72, 2 Ni 1.85
C2 0.8748 0.6250 0.2500  2 C 1.72, 2 Ni 1.85
C3 0.3750 0.1248 0.7500  2 C 1.72, 2 Ni 1.85
C4 0.8750 0.1252 0.7500  2 C 1.72, 2 Ni 1.85
Li1 0.5000 0.5000 0.0000  4 Ni 2.43, 8 C 2.52-2.53
Li2 0.2500 0.7500 0.5000  4 Ni 2.43, 8 C 2.52-2.53

KBa2IrO6 | GGA-PBE | relaxed

Summary:
- Formation energy (no corrections): -1696 meV per atom

Cell: 6.1041 6.3721 8.7359 Å, 90.00 90.18 90.00°
Last column: nearest neighbours and their distance in Å.
Fractional coordinates of all 20 atoms:
K1 0.5000 0.0000 0.0000  6 O 2.59-2.65
K2 0.0000 0.5000 0.5000  6 O 2.59-2.65
Ba1 0.0125 0.9464 0.2521  6 O 2.69-2.99
Ba2 0.5125 0.5536 0.7521  6 O 2.69-2.99
Ba3 0.9875 0.0536 0.7479  6 O 2.69-2.99
Ba4 0.4875 0.4464 0.2479  6 O 2.69-2.99
Ir1 0.5000 0.0000 0.5000  6 O 1.93
Ir2 0.0000 0.5000 0.0000  6 O 1.93
O1 0.2587 0.6669 0.0390  1 Ir 1.93
O2 0.7587 0.8331 0.5390  1 Ir 1.93
O3 0.7413 0.3331 0.9610  1 Ir 1.93
O4 0.2413 0.1669 0.4610  1 Ir 1.93
O5 0.3401 0.7483 0.4470  1 Ir 1.93
O6 0.8401 0.7517 0.9470  1 Ir 1.93
O7 0.6599 0.2517 0.5530  1 Ir 1.93
O8 0.1599 0.2483 0.0530  1 Ir 1.93
O9 0.9146 0.5350 0.2107  1 Ir 1.93
O10 0.4146 0.9650 0.7107  1 Ir 1.93
O11 0.0854 0.4650 0.7893  1 Ir 1.93
O12 0.5854 0.0350 0.2893  1 Ir 1.93

| no. | volume (Å³/atom) | VASP energy (eV per atom) |
| --- | --- | --- |
| 1 | 46.99 | -3.142 |
| 2 | 9.67 | -5.642 |
| 3 | 16.99 | -6.051 |